First-principles (PBE-GGA) data for a relaxed structure of Pm2Al2Ni15, as listed in Alexandria via LeMat-Bulk.

Output
Its formation energy is -538 kJ/mol of formula units. As for the space-group type: R-3m. The value obtained for the total moment is 2.12 μB/cell.

Lattice parameters (Å, degrees): 6.3460 6.3460 6.3460 82.24 82.24 82.24
Fractional coordinates of all 19 atoms:
Pm (0.1504, 0.1504, 0.1504)
Pm (0.8496, 0.8496, 0.8496)
Al (0.3977, 0.3977, 0.3977)
Al (0.6023, 0.6023, 0.6023)
Ni (0.0000, 0.5000, 0.5000)
Ni (0.1569, 0.1569, 0.6496)
Ni (0.1569, 0.6496, 0.1569)
Ni (0.2087, 0.5000, 0.7913)
Ni (0.2087, 0.7913, 0.5000)
Ni (0.3504, 0.8431, 0.8431)
Ni (0.5000, 0.0000, 0.5000)
Ni (0.5000, 0.2087, 0.7913)
Ni (0.5000, 0.5000, 0.0000)
Ni (0.5000, 0.7913, 0.2087)
Ni (0.6496, 0.1569, 0.1569)
Ni (0.7913, 0.2087, 0.5000)
Ni (0.7913, 0.5000, 0.2087)
Ni (0.8431, 0.3504, 0.8431)
Ni (0.8431, 0.8431, 0.3504)

---

First-principles (PBE-GGA) data for a relaxed structure of HfZnIrAu, as listed in Alexandria via LeMat-Bulk.

Output
Its formation energy is -199 kJ/mol of formula units. As for the offset from the most stable computed form: 0.000 eV/f.u. As for the space-group type: I-4m2. The value obtained for the total moment is 0.00 μB/cell.

Lattice parameters (Å, degrees): 4.8784 4.8784 4.8784 130.14 130.14 73.18
Fractional coordinates of all 4 atoms:
Hf (0.0000, 0.0000, 0.0000)
Zn (0.5000, 0.5000, 0.0000)
Ir (0.7500, 0.2500, 0.5000)
Au (0.2500, 0.7500, 0.5000)

---

First-principles (PBE-GGA) data for a relaxed structure of HoGa2Cu, as listed in Alexandria via LeMat-Bulk.

Output
Its formation energy is -178 kJ/mol of formula units. As for the space-group type: R-3m. The value obtained for the total moment is 0.00 μB/cell.

Lattice parameters (Å, degrees): 5.6180 5.6180 5.6180 43.22 43.22 43.22
Fractional coordinates of all 4 atoms:
Ho (0.0000, 0.0000, 0.0000)
Ga (0.2155, 0.2155, 0.2155)
Ga (0.7845, 0.7845, 0.7845)
Cu (0.5000, 0.5000, 0.5000)

---

First-principles (PBE-GGA) data for a relaxed structure of La2SmDy4, as listed in Alexandria via LeMat-Bulk.

Output
Its formation energy is 166 kJ/mol of formula units. As for the offset from the most stable computed form: 0.000 eV/f.u. As for the space-group type: I4/mmm. The value obtained for the total moment is 0.00 μB/cell.

Lattice parameters (Å, degrees): 11.8137 11.8137 11.8137 157.45 157.45 32.10
Fractional coordinates of all 7 atoms:
La (0.0978, 0.0978, 0.0000)
La (0.9022, 0.9022, 0.0000)
Sm (0.5000, 0.5000, 0.0000)
Dy (0.2500, 0.7500, 0.5000)
Dy (0.3599, 0.3599, 0.0000)
Dy (0.6401, 0.6401, 0.0000)
Dy (0.7500, 0.2500, 0.5000)

---

First-principles (PBE-GGA) data for a relaxed structure of BiTeOs3, as listed in Alexandria via LeMat-Bulk.

Output
As for the offset from the most stable computed form: 0.000 eV/f.u. As for the space-group type: Pm-3m. The value obtained for the total moment is 0.00 μB/cell. The uncorrected formation energy is 2.12 eV per atom.

Lattice parameters (Å, degrees): 4.8581 4.8581 4.8581 90.00 90.00 90.00
Fractional coordinates of all 5 atoms:
Bi (0.0000, 0.0000, 0.0000)
Te (0.5000, 0.5000, 0.5000)
Os (0.0000, 0.5000, 0.5000)
Os (0.5000, 0.0000, 0.5000)
Os (0.5000, 0.5000, 0.0000)

---

First-principles (PBE-GGA) data for a relaxed structure of Ho2Tm3Cd3, as listed in Alexandria via LeMat-Bulk.

Output
Its formation energy is -177 kJ/mol of formula units. As for the space-group type: Immm. The value obtained for the total moment is 0.00 μB/cell.

Lattice parameters (Å, degrees): 11.4302 11.4302 11.4302 161.35 153.36 32.72
Fractional coordinates of all 8 atoms:
Ho (0.2336, 0.2336, 0.0000)
Ho (0.7664, 0.7664, 0.0000)
Tm (0.0000, 0.0000, 0.0000)
Tm (0.3768, 0.8768, 0.5000)
Tm (0.6232, 0.1232, 0.5000)
Cd (0.1164, 0.6164, 0.5000)
Cd (0.5000, 0.5000, 0.0000)
Cd (0.8836, 0.3836, 0.5000)